No. 1
## CsCd (PBE)

Data for CsCd after structural relaxation.

Cell: 5.5648 5.5648 5.5648 Å, 60.00 60.00 60.00°
Closest atoms and distances in Å follow each position.
Sites, in units of the cell vectors:
Cd (0.0000, 0.0000, 0.0000)  6 Cs 3.93
Cs (0.5000, 0.5000, 0.5000)  6 Cd 3.93

- VASP energy (eV per atom) = -0.78
- calculated density (g cm⁻³) = 3.3

No. 2
## LiCdPt2 (PBE)

Data for LiCdPt2 after structural relaxation.

Cell: 4.4902 4.4902 4.4902 Å, 60.00 60.00 60.00°
Closest atoms and distances in Å follow each position.
Sites, in units of the cell vectors:
Cd (0.2500, 0.2500, 0.2500)  4 Li 2.75, 4 Pt 2.75
Li (0.5000, 0.5000, 0.5000)  4 Pt 2.75, 4 Cd 2.75
Pt (0.0000, 0.0000, 0.0000)  4 Pt 2.75, 4 Cd 2.75
Pt (0.7500, 0.7500, 0.7500)  4 Pt 2.75, 4 Li 2.75

- VASP energy (eV per atom) = -4.09
- size of the total moment (Bohr magnetons per cell) = 0.00
- calculated density (g cm⁻³) = 13.2

No. 3
## TcNiGe2 (PBE)

Data for TcNiGe2 after structural relaxation.

Cell: 4.3568 4.3568 4.3568 Å, 60.00 60.00 60.00°
Closest atoms and distances in Å follow each position.
Sites, in units of the cell vectors:
Ge (0.5000, 0.5000, 0.5000)  4 Tc 2.67, 4 Ge 2.67
Ge (0.7500, 0.7500, 0.7500)  4 Ge 2.67, 4 Ni 2.67
Ni (0.0000, 0.0000, 0.0000)  4 Tc 2.67, 4 Ge 2.67
Tc (0.2500, 0.2500, 0.2500)  4 Ge 2.67, 4 Ni 2.67

- VASP energy (eV per atom) = -5.97
- size of the total moment (Bohr magnetons per cell) = 0.56
- calculated density (g cm⁻³) = 8.6

No. 4
## KLiNd (PBE)

Data for KLiNd after structural relaxation.

Cell: 5.6871 5.6871 5.6871 Å, 60.00 60.00 60.00°
Closest atoms and distances in Å follow each position.
Sites, in units of the cell vectors:
K (0.2500, 0.2500, 0.2500)  4 Nd 3.48
Li (0.7500, 0.7500, 0.7500)  4 Nd 3.48
Nd (0.0000, 0.0000, 0.0000)  4 Li 3.48, 4 K 3.48

- size of the total moment (Bohr magnetons per cell) = 0.28
- calculated density (g cm⁻³) = 2.4
- relative energy among the computed polymorphs (meV per atom) = 0

No. 5
## NaNpGe (PBE)

Data for NaNpGe after structural relaxation.

Cell: 4.8607 4.8607 4.8607 Å, 60.00 60.00 60.00°
Closest atoms and distances in Å follow each position.
Sites, in units of the cell vectors:
Ge (0.0000, 0.0000, 0.0000)  4 Na 2.98, 4 Np 2.98
Na (0.2500, 0.2500, 0.2500)  4 Ge 2.98
Np (0.7500, 0.7500, 0.7500)  4 Ge 2.98

- VASP energy (eV per atom) = -5.94
- size of the total moment (Bohr magnetons per cell) = 4.00
- calculated density (g cm⁻³) = 6.8

No. 6
## RbLuAu (PBE)

Data for RbLuAu after structural relaxation.

Cell: 5.2958 5.2958 5.2958 Å, 60.00 60.00 60.00°
Closest atoms and distances in Å follow each position.
Sites, in units of the cell vectors:
Au (0.2500, 0.2500, 0.2500)  4 Rb 3.24
Lu (0.7500, 0.7500, 0.7500)  4 Rb 3.24
Rb (0.0000, 0.0000, 0.0000)  4 Lu 3.24, 4 Au 3.24

- size of the total moment (Bohr magnetons per cell) = 0.10
- calculated density (g cm⁻³) = 7.2
- relative energy among the computed polymorphs (meV per atom) = 679

Copy entry 3 word for word.
## TcNiGe2 (PBE)

Data for TcNiGe2 after structural relaxation.

Cell: 4.3568 4.3568 4.3568 Å, 60.00 60.00 60.00°
Closest atoms and distances in Å follow each position.
Sites, in units of the cell vectors:
Ge (0.5000, 0.5000, 0.5000)  4 Tc 2.67, 4 Ge 2.67
Ge (0.7500, 0.7500, 0.7500)  4 Ge 2.67, 4 Ni 2.67
Ni (0.0000, 0.0000, 0.0000)  4 Tc 2.67, 4 Ge 2.67
Tc (0.2500, 0.2500, 0.2500)  4 Ge 2.67, 4 Ni 2.67

- VASP energy (eV per atom) = -5.97
- size of the total moment (Bohr magnetons per cell) = 0.56
- calculated density (g cm⁻³) = 8.6

Which value of calculated density does entry 4 give?
2.4 g cm⁻³

Please write out number 6 again, unchanged.
## RbLuAu (PBE)

Data for RbLuAu after structural relaxation.

Cell: 5.2958 5.2958 5.2958 Å, 60.00 60.00 60.00°
Closest atoms and distances in Å follow each position.
Sites, in units of the cell vectors:
Au (0.2500, 0.2500, 0.2500)  4 Rb 3.24
Lu (0.7500, 0.7500, 0.7500)  4 Rb 3.24
Rb (0.0000, 0.0000, 0.0000)  4 Lu 3.24, 4 Au 3.24

- size of the total moment (Bohr magnetons per cell) = 0.10
- calculated density (g cm⁻³) = 7.2
- relative energy among the computed polymorphs (meV per atom) = 679